{
  "formula": "CaAl4S7",
  "functional": "PBE-GGA",
  "state": "relaxed",
  "e_form_raw_ev_per_atom": -1.20,
  "dos_at_fermi_per_ev_atom": 0.000,
  "lattice": [[5.8833, 0.0000, 0.0000], [0.0000, 6.3427, 0.0000], [0.0000, 0.0000, 15.2775]],
  "species": ["Ca", "Ca", "Al", "Al", "Al", "Al", "Al", "Al", "Al", "Al", "S", "S", "S", "S", "S", "S", "S", "S", "S", "S", "S", "S", "S", "S"],
  "fractional_positions": [[0.5314, 0.9958, 0.5000], [0.0314, 0.0042, 0.0000], [0.5853, 0.6584, 0.8791], [0.0714, 0.8212, 0.2561], [0.5714, 0.1788, 0.2439], [0.0853, 0.3416, 0.6209], [0.0853, 0.3416, 0.3791], [0.5853, 0.6584, 0.1209], [0.0714, 0.8212, 0.7439], [0.5714, 0.1788, 0.7561], [0.9693, 0.6920, 0.1251], [0.4693, 0.3080, 0.3749], [0.4750, 0.3223, 0.8830], [0.9750, 0.6777, 0.6170], [0.9750, 0.6777, 0.3830], [0.4750, 0.3223, 0.1170], [0.4639, 0.8295, 0.7536], [0.9639, 0.1705, 0.7464], [0.9639, 0.1705, 0.2536], [0.4639, 0.8295, 0.2464], [0.4938, 0.8493, 0.0000], [0.9938, 0.1507, 0.5000], [0.9693, 0.6920, 0.8749], [0.4693, 0.3080, 0.6251]]
}

{
  "formula": "SmY6HoEr2",
  "functional": "PBE-GGA",
  "state": "relaxed",
  "dos_at_fermi_per_ev_atom": 1.574,
  "ef_kj_per_mol_atoms": 11.6,
  "lattice": [[-0.7560, -4.2906, -8.5121], [2.6853, -7.2799, 4.0987], [-8.5445, 1.9493, 0.4440]],
  "species": ["Sm", "Sm", "Y", "Y", "Y", "Y", "Y", "Y", "Y", "Y", "Y", "Y", "Y", "Y", "Ho", "Ho", "Er", "Er", "Er", "Er"],
  "fractional_positions": [[0.2500, 0.9741, 0.0259], [0.7500, 0.0259, 0.9741], [0.0565, 0.1211, 0.7536], [0.4435, 0.2464, 0.8789], [0.9435, 0.8789, 0.2464], [0.5565, 0.7536, 0.1211], [0.3170, 0.9852, 0.4341], [0.1830, 0.5659, 0.0148], [0.6830, 0.0148, 0.5659], [0.8170, 0.4341, 0.9852], [0.1168, 0.7068, 0.4908], [0.3832, 0.5092, 0.2932], [0.8832, 0.2932, 0.5092], [0.6168, 0.4908, 0.7068], [0.2500, 0.4096, 0.5904], [0.7500, 0.5904, 0.4096], [0.4523, 0.8019, 0.6991], [0.0477, 0.3009, 0.1981], [0.5477, 0.1981, 0.3009], [0.9523, 0.6991, 0.8019]]
}

{
  "formula": "PrHoGa6",
  "functional": "PBE-GGA",
  "state": "relaxed",
  "dos_at_fermi_per_ev_atom": 0.342,
  "ef_kj_per_mol_atoms": -52.3,
  "lattice": [[-2.5755, 3.1947, 2.0892], [-4.1137, -0.1352, -4.8647], [-0.8143, -3.9057, 4.9687]],
  "species": ["Pr", "Ho", "Ga", "Ga", "Ga", "Ga", "Ga", "Ga"],
  "fractional_positions": [[0.5000, 0.4165, 0.5835], [0.0000, 0.0834, 0.9166], [0.0000, 0.0354, 0.3927], [0.0000, 0.6073, 0.9646], [0.0000, 0.6071, 0.3929], [0.5000, 0.4564, 0.1033], [0.5000, 0.8967, 0.5436], [0.5000, 0.8969, 0.1031]]
}

{
  "formula": "AgSb2P",
  "functional": "PBE-GGA",
  "state": "relaxed",
  "e_form_raw_ev_per_atom": 0.39,
  "dos_at_fermi_per_ev_atom": 0.605,
  "lattice": [[4.0839, 0.0000, 0.0000], [0.0000, 4.0839, 0.0000], [0.0000, 0.0000, 10.9949]],
  "species": ["Ag", "Ag", "Sb", "Sb", "Sb", "Sb", "P", "P"],
  "fractional_positions": [[0.0000, 0.0000, 0.5000], [0.5000, 0.5000, 0.5000], [0.0000, 0.0000, 0.0000], [0.5000, 0.5000, 0.0000], [0.5000, 0.0000, 0.7038], [0.0000, 0.5000, 0.2962], [0.5000, 0.0000, 0.2342], [0.0000, 0.5000, 0.7658]]
}

{
  "formula": "CsSrBr3",
  "functional": "PBE-GGA",
  "state": "relaxed",
  "e_form_raw_ev_per_atom": -2.02,
  "dos_at_fermi_per_ev_atom": 0.000,
  "lattice": [[8.5581, 0.0000, 0.0000], [0.0000, 11.9293, 0.0000], [0.0000, 0.0000, 8.2794]],
  "species": ["Cs", "Cs", "Cs", "Cs", "Sr", "Sr", "Sr", "Sr", "Br", "Br", "Br", "Br", "Br", "Br", "Br", "Br", "Br", "Br", "Br", "Br"],
  "fractional_positions": [[0.5556, 0.2500, 0.4847], [0.9444, 0.7500, 0.9847], [0.4444, 0.7500, 0.5153], [0.0556, 0.2500, 0.0153], [0.0000, 0.0000, 0.5000], [0.5000, 0.5000, 0.0000], [0.5000, 0.0000, 0.0000], [0.0000, 0.5000, 0.5000], [0.2064, 0.9614, 0.7964], [0.2936, 0.4614, 0.2964], [0.2936, 0.0386, 0.2964], [0.7936, 0.4614, 0.2036], [0.7936, 0.0386, 0.2036], [0.7064, 0.5386, 0.7036], [0.7064, 0.9614, 0.7036], [0.2064, 0.5386, 0.7964], [0.4830, 0.2500, 0.9262], [0.0170, 0.7500, 0.4262], [0.5170, 0.7500, 0.0738], [0.9830, 0.2500, 0.5738]]
}

{
  "formula": "Li4ZrCr",
  "functional": "PBE-GGA",
  "state": "relaxed",
  "dos_at_fermi_per_ev_atom": 0.594,
  "ef_kj_per_mol_atoms": 36.9,
  "lattice": [[0.0000, 3.6935, 3.6935], [3.6935, 0.0000, 3.6935], [3.6935, 3.6935, 0.0000]],
  "species": ["Li", "Li", "Li", "Li", "Zr", "Cr"],
  "fractional_positions": [[0.8804, 0.3732, 0.3732], [0.3732, 0.3732, 0.8804], [0.3732, 0.8804, 0.3732], [0.3732, 0.3732, 0.3732], [0.7500, 0.7500, 0.7500], [0.0000, 0.0000, 0.0000]]
}

{
  "formula": "ZnSb2Pd2",
  "functional": "PBE-GGA",
  "state": "relaxed",
  "e_form_raw_ev_per_atom": -0.07,
  "dos_at_fermi_per_ev_atom": 0.595,
  "de_polymorph_mev_per_atom": 142.0,
  "lattice": [[3.9761, 0.0000, 0.0000], [0.0000, 3.9761, 0.0000], [1.9881, 1.9881, 6.9231]],
  "species": ["Sb", "Sb", "Zn", "Pd", "Pd"],
  "fractional_positions": [[0.3837, 0.3837, 0.2326], [0.6163, 0.6163, 0.7674], [0.0000, 0.0000, 0.0000], [0.7500, 0.2500, 0.5000], [0.2500, 0.7500, 0.5000]]
}

{
  "formula": "La2AlMoIr",
  "functional": "PBE-GGA",
  "state": "relaxed",
  "dos_at_fermi_per_ev_atom": 0.746,
  "ef_kj_per_mol_atoms": 38.5,
  "lattice": [[-2.1234, 3.5245, 3.5903], [2.3325, -2.1617, 3.5016], [4.2498, 3.3423, -0.7676]],
  "species": ["Mo", "Ir", "Al", "La", "La"],
  "fractional_positions": [[0.0000, 0.0000, 0.0000], [0.0000, 0.5000, 0.0000], [0.5000, 0.5000, 0.5000], [0.0000, 0.0000, 0.5000], [0.5000, 0.0000, 0.0000]]
}

{
  "formula": "Y2TmSc2Pd5",
  "functional": "PBE-GGA",
  "state": "relaxed",
  "dos_at_fermi_per_ev_atom": 0.520,
  "ef_kj_per_mol_atoms": -71.9,
  "lattice": [[3.5785, 0.0000, 0.0000], [0.0000, 10.7592, 0.0000], [0.0000, 0.0000, 10.7592]],
  "species": ["Y", "Y", "Y", "Y", "Tm", "Tm", "Sc", "Sc", "Sc", "Sc", "Pd", "Pd", "Pd", "Pd", "Pd", "Pd", "Pd", "Pd", "Pd", "Pd"],
  "fractional_positions": [[0.0000, 0.6718, 0.1718], [0.0000, 0.3282, 0.8282], [0.0000, 0.1718, 0.3282], [0.0000, 0.8282, 0.6718], [0.0000, 0.0000, 0.0000], [0.0000, 0.5000, 0.5000], [0.0000, 0.1297, 0.6297], [0.0000, 0.8703, 0.3703], [0.0000, 0.6297, 0.8703], [0.0000, 0.3703, 0.1297], [0.5000, 0.2061, 0.0346], [0.5000, 0.7939, 0.9654], [0.5000, 0.0346, 0.7939], [0.5000, 0.7061, 0.4654], [0.5000, 0.9654, 0.2061], [0.5000, 0.2939, 0.5346], [0.5000, 0.5346, 0.7061], [0.5000, 0.4654, 0.2939], [0.5000, 0.5000, 0.0000], [0.5000, 0.0000, 0.5000]]
}

{
  "formula": "TlCd2W",
  "functional": "PBE-GGA",
  "state": "relaxed",
  "dos_at_fermi_per_ev_atom": 0.662,
  "ef_kj_per_mol_atoms": 61.7,
  "de_polymorph_mev_per_atom": 105.2,
  "lattice": [[-4.4147, -1.1923, -4.7758], [2.9757, -4.1565, 1.9166], [-2.5219, -1.4408, 0.7959]],
  "species": ["Tl", "W", "Cd", "Cd"],
  "fractional_positions": [[0.0000, 0.5000, 0.5000], [0.5000, 0.5000, 0.0000], [0.0000, 0.0000, 0.0000], [0.5000, 0.0000, 0.5000]]
}

{
  "formula": "K2LiTiN",
  "functional": "PBE-GGA",
  "state": "relaxed",
  "e_form_raw_ev_per_atom": 0.14,
  "dos_at_fermi_per_ev_atom": 0.613,
  "lattice": [[-6.1635, -0.4891, -0.1797], [0.2385, -1.7171, -3.5074], [0.3596, -5.5364, 2.7348]],
  "species": ["K", "K", "N", "Li", "Ti"],
  "fractional_positions": [[0.0000, 0.0000, 0.5000], [0.5000, 0.0000, 0.0000], [0.0000, 0.0000, 0.0000], [0.5000, 0.5000, 0.5000], [0.0000, 0.5000, 0.0000]]
}

{
  "formula": "KWBr2",
  "functional": "PBE-GGA",
  "state": "relaxed",
  "e_form_raw_ev_per_atom": 0.44,
  "dos_at_fermi_per_ev_atom": 1.087,
  "de_polymorph_mev_per_atom": 254.6,
  "lattice": [[6.1485, 0.0000, 0.0000], [0.0000, 6.1485, 0.0000], [3.0743, 3.0743, 7.0773]],
  "species": ["K", "K", "Br", "Br", "Br", "Br", "W", "W"],
  "fractional_positions": [[0.5000, 0.5000, 0.0000], [0.2500, 0.7500, 0.5000], [0.7321, 0.1250, 0.2500], [0.0179, 0.6250, 0.2500], [0.3750, 0.2679, 0.7500], [0.8750, 0.9821, 0.7500], [0.0000, 0.0000, 0.0000], [0.7500, 0.2500, 0.5000]]
}

{
  "formula": "LiNbCl3",
  "functional": "PBE-GGA",
  "state": "relaxed",
  "e_form_raw_ev_per_atom": -0.43,
  "dos_at_fermi_per_ev_atom": 0.841,
  "de_polymorph_mev_per_atom": 380.0,
  "lattice": [[-3.5247, -0.6311, -2.9017], [-2.8077, -0.7579, 3.5755], [-0.9668, 4.5021, 0.1952]],
  "species": ["Nb", "Li", "Cl", "Cl", "Cl"],
  "fractional_positions": [[0.5000, 0.5000, 0.5000], [0.0000, 0.0000, 0.0000], [0.0000, 0.5000, 0.0000], [0.0000, 0.0000, 0.5000], [0.5000, 0.0000, 0.0000]]
}

{
  "formula": "YErSc2Bi4",
  "functional": "PBE-GGA",
  "state": "relaxed",
  "dos_at_fermi_per_ev_atom": 0.184,
  "ef_kj_per_mol_atoms": -72.7,
  "lattice": [[-2.1023, -1.9978, 3.2655], [3.6888, -6.4193, -1.5524], [3.9648, 4.0330, 5.0198]],
  "species": ["Y", "Er", "Sc", "Sc", "Bi", "Bi", "Bi", "Bi"],
  "fractional_positions": [[0.0000, 0.0000, 0.0000], [0.5000, 0.5000, 0.0000], [0.5000, 0.0000, 0.5000], [0.0000, 0.5000, 0.5000], [0.5000, 0.2560, 0.2643], [0.5000, 0.7440, 0.7357], [0.0000, 0.2469, 0.7366], [0.0000, 0.7531, 0.2634]]
}

{
  "formula": "RePb3C",
  "functional": "PBE-GGA",
  "state": "relaxed",
  "dos_at_fermi_per_ev_atom": 0.000,
  "ef_kj_per_mol_atoms": 158.9,
  "de_polymorph_mev_per_atom": 0.0,
  "lattice": [[-1.5360, -1.0532, 4.9838], [4.0892, -3.3589, 0.5504], [3.0375, 3.9894, 1.7791]],
  "species": ["Pb", "Pb", "Pb", "Re", "C"],
  "fractional_positions": [[0.0000, 0.5000, 0.0000], [0.0000, 0.0000, 0.5000], [0.5000, 0.0000, 0.0000], [0.0000, 0.0000, 0.0000], [0.5000, 0.5000, 0.5000]]
}

{
  "formula": "CrTeMo",
  "functional": "PBE-GGA",
  "state": "relaxed",
  "e_form_raw_ev_per_atom": 0.47,
  "dos_at_fermi_per_ev_atom": 0.699,
  "de_polymorph_mev_per_atom": 227.0,
  "lattice": [[3.1707, 0.0000, 0.0000], [-1.5854, 2.7459, 0.0000], [0.0000, 0.0000, 6.1874]],
  "species": ["Cr", "Mo", "Te"],
  "fractional_positions": [[0.0000, 0.0000, 0.0334], [0.6667, 0.3333, 0.2877], [0.3333, 0.6667, 0.6788]]
}

{
  "formula": "CsNa2As2",
  "functional": "PBE-GGA",
  "state": "relaxed",
  "dos_at_fermi_per_ev_atom": 0.531,
  "ef_kj_per_mol_atoms": -20.7,
  "de_polymorph_mev_per_atom": 163.2,
  "lattice": [[-5.2460, -7.2188, 2.7454], [5.6602, -5.8516, -4.5705], [1.7820, -0.3065, 2.5993]],
  "species": ["Cs", "Cs", "Na", "Na", "Na", "Na", "As", "As", "As", "As"],
  "fractional_positions": [[0.0000, 0.0000, 0.0000], [0.5000, 0.5000, 0.0000], [0.3752, 0.8752, 0.0000], [0.8752, 0.6248, 0.0000], [0.6248, 0.1248, 0.0000], [0.1248, 0.3752, 0.0000], [0.1654, 0.6654, 0.5000], [0.6654, 0.8346, 0.5000], [0.8346, 0.3346, 0.5000], [0.3346, 0.1654, 0.5000]]
}

{
  "formula": "Pm2Y12Ho5",
  "functional": "PBE-GGA",
  "state": "relaxed",
  "dos_at_fermi_per_ev_atom": 1.578,
  "ef_kj_per_mol_atoms": 13.5,
  "de_polymorph_mev_per_atom": 10.2,
  "lattice": [[-4.2772, 5.9898, 3.6683], [-5.3863, 2.3431, -8.8284], [1.9958, -10.3988, 6.8010]],
  "species": ["Pm", "Pm", "Y", "Y", "Y", "Y", "Y", "Y", "Y", "Y", "Y", "Y", "Y", "Y", "Ho", "Ho", "Ho", "Ho", "Ho"],
  "fractional_positions": [[0.9747, 0.2002, 0.1543], [0.0253, 0.7998, 0.8457], [0.8621, 0.8092, 0.0694], [0.0814, 0.4895, 0.8835], [0.4478, 0.4083, 0.7990], [0.0081, 0.6729, 0.4979], [0.4429, 0.6329, 0.4545], [0.4780, 0.0902, 0.8106], [0.5220, 0.9098, 0.1894], [0.9919, 0.3271, 0.5021], [0.5571, 0.3672, 0.5455], [0.9186, 0.5105, 0.1165], [0.5522, 0.5916, 0.2010], [0.1379, 0.1908, 0.9306], [0.4260, 0.7552, 0.8019], [0.2871, 0.8980, 0.3556], [0.0000, 0.0000, 0.5000], [0.7130, 0.1020, 0.6444], [0.5740, 0.2448, 0.1981]]
}

{
  "formula": "TaFe2Os2",
  "functional": "PBE-GGA",
  "state": "relaxed",
  "dos_at_fermi_per_ev_atom": 1.135,
  "ef_kj_per_mol_atoms": 12.4,
  "de_polymorph_mev_per_atom": 86.7,
  "lattice": [[7.1866, 0.0000, 0.0000], [0.0000, 7.1866, 0.0000], [0.0000, 0.0000, 2.6791]],
  "species": ["Os", "Os", "Os", "Os", "Fe", "Fe", "Fe", "Fe", "Ta", "Ta"],
  "fractional_positions": [[0.3730, 0.8730, 0.0000], [0.8730, 0.6270, 0.0000], [0.6270, 0.1270, 0.0000], [0.1270, 0.3730, 0.0000], [0.1694, 0.6694, 0.5000], [0.6694, 0.8306, 0.5000], [0.8306, 0.3306, 0.5000], [0.3306, 0.1694, 0.5000], [0.0000, 0.0000, 0.0000], [0.5000, 0.5000, 0.0000]]
}

{
  "formula": "PrNd2Pu3Te6",
  "functional": "PBE-GGA",
  "state": "relaxed",
  "e_form_raw_ev_per_atom": -1.27,
  "dos_at_fermi_per_ev_atom": 2.934,
  "lattice": [[4.4613, 0.0000, 0.0000], [0.0000, 8.9458, 0.3463], [-2.2307, -2.5472, 9.4001]],
  "species": ["Pr", "Nd", "Nd", "Pu", "Pu", "Pu", "Te", "Te", "Te", "Te", "Te", "Te"],
  "fractional_positions": [[0.5000, 0.0000, 0.0000], [0.8335, 0.6643, 0.6669], [0.1665, 0.3357, 0.3331], [0.5000, 0.5000, 0.0000], [0.8336, 0.1649, 0.6672], [0.1664, 0.8351, 0.3328], [0.3311, 0.9185, 0.6622], [0.6657, 0.5884, 0.3314], [0.6689, 0.0815, 0.3378], [0.9990, 0.2551, 0.9980], [0.0010, 0.7449, 0.0020], [0.3343, 0.4116, 0.6686]]
}

{
  "formula": "CaTl12Hg6",
  "functional": "PBE-GGA",
  "state": "relaxed",
  "dos_at_fermi_per_ev_atom": 0.557,
  "ef_kj_per_mol_atoms": -2.2,
  "de_polymorph_mev_per_atom": 18.9,
  "lattice": [[8.8867, -1.0109, -1.2110], [-2.3464, 8.6307, -1.2110], [-2.3464, -2.7338, 8.2754]],
  "species": ["Ca", "Tl", "Tl", "Tl", "Tl", "Tl", "Tl", "Tl", "Tl", "Tl", "Tl", "Tl", "Tl", "Hg", "Hg", "Hg", "Hg", "Hg", "Hg"],
  "fractional_positions": [[0.0000, 0.0000, 0.0000], [0.7948, 0.6754, 0.5237], [0.5237, 0.7948, 0.6754], [0.6754, 0.5237, 0.7948], [0.2052, 0.3246, 0.4763], [0.4763, 0.2052, 0.3246], [0.3246, 0.4763, 0.2052], [0.8957, 0.8377, 0.2676], [0.1623, 0.7324, 0.1043], [0.7324, 0.1043, 0.1623], [0.1043, 0.1623, 0.7324], [0.8377, 0.2676, 0.8957], [0.2676, 0.8957, 0.8377], [0.6282, 0.9372, 0.4110], [0.5890, 0.3718, 0.0628], [0.0628, 0.5890, 0.3718], [0.3718, 0.0628, 0.5890], [0.4110, 0.6282, 0.9372], [0.9372, 0.4110, 0.6282]]
}

{
  "formula": "LaCePa",
  "functional": "PBE-GGA",
  "state": "relaxed",
  "dos_at_fermi_per_ev_atom": 2.108,
  "ef_kj_per_mol_atoms": 18.1,
  "de_polymorph_mev_per_atom": 50.2,
  "lattice": [[-3.1997, -0.3476, -0.3925], [-0.4501, -4.1303, 7.3262], [-0.9762, 5.5321, 3.0589]],
  "species": ["Ce", "Ce", "La", "La", "Pa", "Pa"],
  "fractional_positions": [[0.5000, 0.2338, 0.2500], [0.5000, 0.7662, 0.7500], [0.0000, 0.1616, 0.7500], [0.0000, 0.8384, 0.2500], [0.0000, 0.5000, 0.5000], [0.0000, 0.5000, 0.0000]]
}